# VAsO5

A relaxed structure of VAsO5 (PBE with a Hubbard U, Alexandria).

Cell lengths 11.338, 6.587, 5.296 Å; angles 90.00, 90.00, 90.00 degrees
Fractional coordinates of all 28 atoms:
V 0.059 0.163 0.000
V 0.441 0.663 0.500
V 0.559 0.337 0.000
V 0.941 0.837 0.500
As 0.154 0.469 0.455
As 0.346 0.969 0.955
As 0.654 0.031 0.455
As 0.846 0.531 0.955
O 0.013 0.038 0.258
O 0.092 0.705 0.477
O 0.103 0.295 0.660
O 0.133 0.385 0.145
O 0.197 0.999 0.978
O 0.303 0.499 0.478
O 0.367 0.885 0.645
O 0.397 0.795 0.160
O 0.408 0.205 0.977
O 0.487 0.538 0.758
O 0.513 0.462 0.258
O 0.592 0.795 0.477
O 0.603 0.205 0.660
O 0.633 0.115 0.145
O 0.697 0.501 0.978
O 0.803 0.001 0.478
O 0.867 0.615 0.645
O 0.897 0.705 0.160
O 0.908 0.295 0.977
O 0.987 0.962 0.758

For the relative energy among the computed polymorphs, the calculation gives 49 meV per atom. For the density of states at the Fermi level, the calculation gives 0.00 states/eV/f.u.